Entry from the Alexandria database: NiAsH after structural relaxation (PBE).

Geometry as POSCAR:
```
NiAsH
1.0
4.8421 0.0000 0.0000
0.0000 2.8691 0.0000
-2.1612 0.0000 5.0099
Ni As H
2 2 2
Direct
0.1309 0.2500 0.2253
0.8691 0.7500 0.7747
0.2985 0.7500 0.6160
0.7015 0.2500 0.3840
0.1626 0.7500 0.0709
0.8374 0.2500 0.9291
```

Values from the calculation:
**Symmetry**: P2_1/m
**Crystal system**: monoclinic
**Total energy**: -27.8 eV/cell
**M_tot**: 0.0 μB per formula unit
**Density**: 6.42 g cm⁻³